Record 1
FeBr3 | GGA-PBE | optimized geometry

extended XYZ file:
```
16
Lattice="9.233 0.000 0.000 0.000 5.824 0.000 -3.460 0.000 10.870" Properties=species:S:1:pos:R:3 pbc="T T T"
Fe 1.578 0.000 0.505
Fe -0.152 2.912 5.940
Fe 4.195 0.000 10.365
Fe 5.925 2.912 4.930
Br 8.833 1.292 1.246
Br 7.103 1.620 6.681
Br -1.331 4.204 4.189
Br -3.061 4.532 9.624
Br 0.599 4.273 7.610
Br 2.329 4.462 2.175
Br -0.304 1.371 10.457
Br 1.426 1.541 5.022
Br 4.346 4.283 5.848
Br 6.076 4.453 0.413
Br 3.444 1.362 8.695
Br 5.174 1.550 3.260
```

Summary:
E_tot	-3.766	eV/atom
M_tot	20.0	μB per cell
space-group type	P2_1/c

---

Record 2
RbTh2 | GGA-PBE | optimized geometry

extended XYZ file:
```
6
Lattice="0.000 6.466 6.466 6.466 0.000 6.466 6.466 6.466 0.000" Properties=species:S:1:pos:R:3 pbc="T T T"
Rb 1.617 1.617 1.617
Rb 11.316 11.316 11.316
Th 0.000 0.000 0.000
Th 3.233 3.233 0.000
Th 3.233 0.000 3.233
Th 0.000 3.233 3.233
```

Summary:
E_tot	-1.471	eV/atom
M_tot	1.5	μB per cell
space-group type	Fd-3m

---

Record 3
PaCdIn | GGA-PBE | optimized geometry

extended XYZ file:
```
3
Lattice="0.000 3.514 3.514 3.514 0.000 3.514 3.514 3.514 0.000" Properties=species:S:1:pos:R:3 pbc="T T T"
Pa 0.000 0.000 0.000
Cd 3.514 3.514 3.514
In 5.272 5.272 5.272
```

Summary:
M_tot	1.7	μB per cell
E above lowest polymorph	0.0	meV per atom
space-group type	F-43m

---

Record 4
DyY2Ga4Au | GGA-PBE | optimized geometry

extended XYZ file:
```
8
Lattice="6.611 0.000 0.000 0.000 2.203 5.969 0.000 -2.203 5.969" Properties=species:S:1:pos:R:3 pbc="T T T"
Dy 0.000 0.000 0.000
Y 0.000 0.000 3.340
Y 3.305 0.000 1.876
Ga 1.357 0.000 7.355
Ga 2.071 0.000 9.883
Ga 4.540 0.000 9.883
Ga 5.254 0.000 7.355
Au 3.305 0.000 5.289
```

Summary:
E_tot	-4.644	eV/atom
M_tot	0.0	μB per cell
space-group type	Amm2

---

Record 5
KMoAuSeS2 | GGA-PBE | optimized geometry

extended XYZ file:
```
12
Lattice="1.880 -7.590 0.000 1.880 7.590 0.000 0.000 0.000 10.027" Properties=species:S:1:pos:R:3 pbc="T T T"
K 1.880 3.839 7.520
K 1.880 -3.839 2.507
Mo 0.000 0.000 0.000
Mo 0.000 0.000 5.013
Au 1.880 0.967 2.507
Au 1.880 -0.967 7.520
Se 1.880 6.509 2.507
Se 1.880 -6.509 7.520
S 1.880 1.657 0.248
S 1.880 1.657 4.766
S 1.880 -1.657 5.261
S 1.880 -1.657 9.779
```

Summary:
E_tot	-4.894	eV/atom
M_tot	4.0	μB per cell
space-group type	Cmcm

---

Record 6
TbScTa2Ge2 | GGA-PBE | optimized geometry

extended XYZ file:
```
6
Lattice="3.987 0.000 0.000 0.000 3.987 0.000 0.000 0.000 7.690" Properties=species:S:1:pos:R:3 pbc="T T T"
Tb 0.000 0.000 0.000
Sc 1.994 1.994 2.279
Ta 0.000 1.994 4.913
Ta 1.994 0.000 4.913
Ge 0.000 0.000 2.982
Ge 1.994 1.994 6.857
```

Summary:
E_tot	-7.897	eV/atom
M_tot	1.0	μB per cell
space-group type	P4mm

---

Record 7
HfNb2Al | GGA-PBE | optimized geometry

extended XYZ file:
```
4
Lattice="0.000 3.334 3.334 3.334 0.000 3.334 3.334 3.334 0.000" Properties=species:S:1:pos:R:3 pbc="T T T"
Hf 0.000 0.000 0.000
Nb 1.667 1.667 1.667
Nb 3.334 3.334 3.334
Al 5.000 5.000 5.000
```

Summary:
E_tot	-8.599	eV/atom
M_tot	0.0	μB per cell
space-group type	F-43m

---

Record 8
ThGaB | GGA-PBE | optimized geometry

extended XYZ file:
```
3
Lattice="0.000 3.081 3.081 3.081 0.000 3.081 3.081 3.081 0.000" Properties=species:S:1:pos:R:3 pbc="T T T"
Th 0.000 0.000 0.000
Ga 3.081 3.081 3.081
B 4.622 4.622 4.622
```

Summary:
M_tot	0.0	μB per cell
E above lowest polymorph	0.0	meV per atom
space-group type	F-43m

---

Record 9
Gd2HoCu4Sn2Ge2 | GGA-PBE | optimized geometry

extended XYZ file:
```
11
Lattice="-2.192 3.346 7.261 2.192 -3.346 7.261 2.192 3.346 -7.261" Properties=species:S:1:pos:R:3 pbc="T T T"
Gd 0.000 0.000 1.824
Gd 0.000 0.000 12.698
Ho 0.000 3.346 0.000
Cu 2.192 2.079 -2.319
Cu 2.192 2.079 2.319
Cu 0.000 1.267 4.942
Cu 0.000 1.267 9.580
Sn 2.192 0.000 4.109
Sn 0.000 3.346 3.152
Ge 2.192 1.285 0.000
Ge 0.000 2.061 7.261
```

Summary:
M_tot	0.0	μB per cell
E above lowest polymorph	0.0	meV per atom
space-group type	Immm

---

Record 10
Y3Zr3Te2Ir | GGA-PBE | optimized geometry

extended XYZ file:
```
9
Lattice="8.188 0.000 0.000 -4.094 7.091 0.000 0.000 0.000 3.733" Properties=species:S:1:pos:R:3 pbc="T T T"
Y -3.069 5.315 0.000
Y 1.025 1.776 0.000
Y 6.137 0.000 0.000
Zr -1.663 2.880 1.867
Zr 3.326 0.000 1.867
Zr 2.431 4.211 1.867
Te 0.000 4.727 0.000
Te 4.094 2.364 0.000
Ir 0.000 0.000 1.867
```

Summary:
M_tot	0.0	μB per cell
E above lowest polymorph	208.3	meV per atom
space-group type	P-62m

---

Record 11
Dy3CuGeS7 | GGA-PBE | optimized geometry

extended XYZ file:
```
24
Lattice="9.874 0.000 0.000 -4.937 8.551 0.000 0.000 0.000 5.796" Properties=species:S:1:pos:R:3 pbc="T T T"
Dy -2.529 6.618 0.000
Dy 0.470 3.051 0.000
Dy 2.878 1.118 2.898
Dy 2.059 7.432 0.000
Dy 4.467 5.499 2.898
Dy 7.466 1.933 2.898
Cu 0.000 0.000 2.566
Cu 0.000 0.000 5.464
Ge 0.000 5.701 3.373
Ge 4.937 2.850 0.474
S -1.588 4.431 4.320
S -3.173 7.172 2.688
S 0.312 2.217 2.688
S 2.076 0.838 5.587
S 0.000 5.701 1.173
S -0.305 7.711 4.320
S 1.893 4.959 4.320
S 3.044 3.591 1.422
S 5.242 0.840 1.422
S 4.937 2.850 4.071
S 2.861 7.713 2.688
S 4.624 6.334 5.587
S 8.110 1.379 5.587
S 6.525 4.119 1.422
```

Summary:
E_tot	-5.690	eV/atom
M_tot	0.0	μB per cell
space-group type	P6_3

---

Record 12
Cu2Ag3 | GGA-PBE | optimized geometry

extended XYZ file:
```
10
Lattice="6.893 0.000 0.000 0.000 2.853 0.000 -1.640 0.000 7.910" Properties=species:S:1:pos:R:3 pbc="T T T"
Cu 0.000 0.000 0.000
Cu 0.658 0.000 4.741
Cu 2.626 1.427 3.955
Cu 4.595 0.000 3.169
Ag -0.023 1.427 2.556
Ag 0.575 1.427 7.092
Ag 2.290 0.000 1.679
Ag 2.963 0.000 6.231
Ag 4.678 1.427 0.819
Ag 5.275 1.427 5.354
```

Summary:
ΔH_f (0 K)	0.084	eV/atom
E above lowest polymorph	52.0	meV per atom
space-group type	P2/m